DFT (PBE-GGA) results for Ce2ScNi4Sb3 after structural relaxation.

Output
**Total DFT energy (no corrections)**: -60.246 eV for the cell shown
**Energy relative to the elements, uncorrected**: -0.66 eV/atom
**V**: 196.8 Å³/cell
**M_tot**: 1.56 μB per formula unit

Lattice parameters (Å, degrees): 4.339 4.339 10.453 90.00 90.00 90.00
Element x y z (fractional)
Ce1 0.000 0.500 0.231
Ce2 0.500 0.000 0.769
Sc1 0.000 0.000 0.500
Ni1 0.000 0.000 0.000
Ni2 0.000 0.500 0.635
Ni3 0.500 0.000 0.365
Ni4 0.500 0.500 0.000
Sb1 0.000 0.500 0.872
Sb2 0.500 0.000 0.128
Sb3 0.500 0.500 0.500



DFT (PBE-GGA) results for ZnIr2Pb after structural relaxation.

Output
**Energy of formation**: 415 meV per atom
**Total DFT energy (no corrections)**: -21.046 eV for the cell shown
**V**: 69.3 Å³/cell
**M_tot**: 0.00 μB per formula unit

Lattice parameters (Å, degrees): 5.384 5.384 3.003 105.70 105.70 113.67
Element x y z (fractional)
Zn1 0.000 0.000 0.000
Ir1 0.000 0.500 0.500
Ir2 0.500 0.000 0.500
Pb1 0.500 0.500 0.000



DFT (PBE-GGA) results for CsRb4Cu3F12 after structural relaxation.

Output
**Total DFT energy (no corrections)**: -82.464 eV for the cell shown
**Energy relative to the elements, uncorrected**: -2.15 eV/atom
**V**: 415.3 Å³/cell
**M_tot**: 2.00 μB per formula unit

Lattice parameters (Å, degrees): 8.141 8.141 8.141 109.47 109.47 109.47
Element x y z (fractional)
Cs1 0.000 0.000 0.000
Rb1 0.000 0.000 0.500
Rb2 0.000 0.500 0.000
Rb3 0.500 0.000 0.000
Rb4 0.500 0.500 0.500
Cu1 0.000 0.500 0.500
Cu2 0.500 0.000 0.500
Cu3 0.500 0.500 0.000
F1 0.136 0.492 0.356
F2 0.136 0.780 0.644
F3 0.220 0.356 0.864
F4 0.356 0.136 0.492
F5 0.356 0.864 0.220
F6 0.492 0.356 0.136
F7 0.508 0.644 0.864
F8 0.644 0.136 0.780
F9 0.644 0.864 0.508
F10 0.780 0.644 0.136
F11 0.864 0.220 0.356
F12 0.864 0.508 0.644